# USi2NiOs2, relaxed, DFT GGA-PBE
data_USi2NiOs2
_space_group_name_H-M_alt 'P 1'
_space_group_IT_number 1
_cell_length_a 4.3418
_cell_length_b 4.3418
_cell_length_c 5.2312
_cell_angle_alpha 90.00
_cell_angle_beta 90.00
_cell_angle_gamma 90.00
loop_
_space_group_symop_operation_xyz
'x,y,z'
loop_
_atom_site_label
_atom_site_fract_x
_atom_site_fract_y
_atom_site_fract_z
U1 0.0000 0.0000 0.5000
Ni1 0.0000 0.0000 0.0000
Si1 0.5000 0.0000 0.0000
Si2 0.0000 0.5000 0.0000
Os1 0.5000 0.5000 0.2634
Os2 0.5000 0.5000 0.7366
# magnetization: 1.82 Bohr magnetons per cell
# energy relative to the elements, uncorrected: 99.4 meV/atom

***

# Tb4Pr8Nd, relaxed, DFT GGA-PBE
data_Tb4Pr8Nd
_space_group_name_H-M_alt 'P 1'
_space_group_IT_number 1
_cell_length_a 7.4218
_cell_length_b 7.4184
_cell_length_c 10.5329
_cell_angle_alpha 90.00
_cell_angle_beta 110.69
_cell_angle_gamma 119.98
loop_
_space_group_symop_operation_xyz
'x,y,z'
loop_
_atom_site_label
_atom_site_fract_x
_atom_site_fract_y
_atom_site_fract_z
Pr1 0.9537 0.7518 0.7050
Pr2 0.5702 0.7851 0.3556
Pr3 0.4298 0.2149 0.6444
Pr4 0.0463 0.2482 0.2950
Pr5 0.4962 0.2481 0.2950
Pr6 0.0463 0.7981 0.2950
Pr7 0.9537 0.2019 0.7050
Pr8 0.5038 0.7519 0.7050
Tb1 0.0000 0.0000 0.0000
Tb2 0.5000 0.5000 0.0000
Tb3 0.0000 0.5000 0.0000
Tb4 0.5000 0.0000 0.0000
Nd1 0.0000 0.5000 0.5000
# magnetization: 0.00 Bohr magnetons per cell
# raw total energy: -4.560 eV/atom

***

# PmPu3Tc2, relaxed, DFT GGA-PBE
data_PmPu3Tc2
_space_group_name_H-M_alt 'P 1'
_space_group_IT_number 1
_cell_length_a 6.1121
_cell_length_b 6.7495
_cell_length_c 6.7495
_cell_angle_alpha 89.95
_cell_angle_beta 90.09
_cell_angle_gamma 90.09
loop_
_space_group_symop_operation_xyz
'x,y,z'
loop_
_atom_site_label
_atom_site_fract_x
_atom_site_fract_y
_atom_site_fract_z
Pu1 0.2502 0.0710 0.0710
Pu2 0.7500 0.4281 0.0936
Pu3 0.7498 0.9290 0.9290
Pu4 0.2500 0.9064 0.5719
Pu5 0.2500 0.5719 0.9064
Pu6 0.7500 0.0936 0.4281
Pm1 0.7502 0.5852 0.5852
Pm2 0.2498 0.4148 0.4148
Tc1 0.5000 0.2164 0.7836
Tc2 0.5000 0.7836 0.2164
Tc3 0.0000 0.2165 0.7835
Tc4 0.0000 0.7835 0.2165
# magnetization: 30.03 Bohr magnetons per cell
# raw total energy: -11.329 eV/atom

***

# ScMn2Si, relaxed, DFT GGA-PBE
data_ScMn2Si
_space_group_name_H-M_alt 'P 1'
_space_group_IT_number 1
_cell_length_a 4.4444
_cell_length_b 4.4444
_cell_length_c 4.6588
_cell_angle_alpha 77.47
_cell_angle_beta 77.47
_cell_angle_gamma 39.47
loop_
_space_group_symop_operation_xyz
'x,y,z'
loop_
_atom_site_label
_atom_site_fract_x
_atom_site_fract_y
_atom_site_fract_z
Sc1 0.7500 0.7500 0.7500
Si1 0.2500 0.2500 0.2500
Mn1 0.5140 0.5140 0.4219
Mn2 0.9860 0.9860 0.0781
# magnetization: 1.30 Bohr magnetons per cell
# energy relative to the elements, uncorrected: -142.7 meV/atom

***

# Re2Si2Br, relaxed, DFT GGA-PBE
data_Re2Si2Br
_space_group_name_H-M_alt 'P 1'
_space_group_IT_number 1
_cell_length_a 7.3070
_cell_length_b 7.3070
_cell_length_c 2.9196
_cell_angle_alpha 90.00
_cell_angle_beta 90.00
_cell_angle_gamma 90.00
loop_
_space_group_symop_operation_xyz
'x,y,z'
loop_
_atom_site_label
_atom_site_fract_x
_atom_site_fract_y
_atom_site_fract_z
Si1 0.6395 0.8605 0.5000
Si2 0.8605 0.3605 0.5000
Si3 0.1395 0.6395 0.5000
Si4 0.3605 0.1395 0.5000
Re1 0.3512 0.8512 0.0000
Re2 0.1488 0.3512 0.0000
Re3 0.6488 0.1488 0.0000
Re4 0.8512 0.6488 0.0000
Br1 0.0000 0.0000 0.0000
Br2 0.5000 0.5000 0.0000
# magnetization: 0.00 Bohr magnetons per cell
# energy relative to the elements, uncorrected: 333.2 meV/atom
# polymorph energy (0 for the lowest one): 0.000 eV/f.u.

***

# La3Tb8Pr2, relaxed, DFT GGA-PBE
data_La3Tb8Pr2
_space_group_name_H-M_alt 'P 1'
_space_group_IT_number 1
_cell_length_a 6.2776
_cell_length_b 8.1076
_cell_length_c 9.6159
_cell_angle_alpha 65.02
_cell_angle_beta 83.63
_cell_angle_gamma 82.55
loop_
_space_group_symop_operation_xyz
'x,y,z'
loop_
_atom_site_label
_atom_site_fract_x
_atom_site_fract_y
_atom_site_fract_z
La1 0.0000 0.0000 0.0000
La2 0.5396 0.9215 0.8470
La3 0.4604 0.0785 0.1530
Tb1 0.3087 0.3882 0.7675
Tb2 0.6913 0.6118 0.2325
Tb3 0.1528 0.6898 0.3861
Tb4 0.0780 0.8431 0.6909
Tb5 0.8472 0.3102 0.6139
Tb6 0.2284 0.5377 0.0768
Tb7 0.9220 0.1569 0.3091
Tb8 0.7716 0.4623 0.9232
Pr1 0.3822 0.2331 0.4607
Pr2 0.6178 0.7669 0.5393
# magnetization: 0.00 Bohr magnetons per cell
# polymorph energy (0 for the lowest one): 0.000 eV/f.u.